# PBE-GGA MgNiRu, relaxed
# **ρ**: 7.23 g/cm³
# **SG**: P3m1
# **Total magnetic moment**: 0.00 μB/f.u.
# **Energy relative to the elements**: 0.140 eV per atom
# **Offset from the most stable computed form**: 185 meV/atom
data_MgNiRu
_chemical_formula_sum 'Mg1 Ni1 Ru1'
_space_group_name_H-M_alt 'P 1'
_space_group_IT_number 1
_cell_length_a 2.7473
_cell_length_b 2.7473
_cell_length_c 6.4677
_cell_angle_alpha 90.00
_cell_angle_beta 90.00
_cell_angle_gamma 120.00
loop_
_space_group_symop_operation_xyz
'x,y,z'
loop_
_atom_site_label
_atom_site_type_symbol
_atom_site_fract_x
_atom_site_fract_y
_atom_site_fract_z
_atom_site_occupancy
Mg1 Mg 0.0000 0.0000 0.0000 1
Ni1 Ni 0.3333 0.6667 0.3353 1
Ru1 Ru 0.6667 0.3333 0.6416 1



# PBE-GGA BeAlIn2, relaxed
# **ρ**: 5.50 g/cm³
# **SG**: C2/m
# **Total magnetic moment**: 0.00 μB/f.u.
# **Energy relative to the elements**: 0.387 eV per atom
# **Offset from the most stable computed form**: 95 meV/atom
data_BeAlIn2
_chemical_formula_sum 'Be1 Al1 In2'
_space_group_name_H-M_alt 'P 1'
_space_group_IT_number 1
_cell_length_a 4.5562
_cell_length_b 4.5562
_cell_length_c 5.7869
_cell_angle_alpha 103.15
_cell_angle_beta 103.15
_cell_angle_gamma 43.47
loop_
_space_group_symop_operation_xyz
'x,y,z'
loop_
_atom_site_label
_atom_site_type_symbol
_atom_site_fract_x
_atom_site_fract_y
_atom_site_fract_z
_atom_site_occupancy
Be1 Be 0.0000 0.0000 0.0000 1
Al1 Al 0.5000 0.5000 0.5000 1
In1 In 0.2620 0.2620 0.7749 1
In2 In 0.7380 0.7380 0.2251 1



# PBE-GGA Mg2CoRe, relaxed
# **ρ**: 7.85 g/cm³
# **SG**: Cm
# **Total magnetic moment**: 0.00 μB/f.u.
# **Energy relative to the elements**: 0.288 eV per atom
# **Offset from the most stable computed form**: 194 meV/atom
data_Mg2CoRe
_chemical_formula_sum 'Mg2 Co1 Re1'
_space_group_name_H-M_alt 'P 1'
_space_group_IT_number 1
_cell_length_a 5.2146
_cell_length_b 5.2146
_cell_length_c 4.7164
_cell_angle_alpha 109.36
_cell_angle_beta 109.36
_cell_angle_gamma 31.08
loop_
_space_group_symop_operation_xyz
'x,y,z'
loop_
_atom_site_label
_atom_site_type_symbol
_atom_site_fract_x
_atom_site_fract_y
_atom_site_fract_z
_atom_site_occupancy
Mg1 Mg 0.0000 0.0000 0.0000 1
Mg2 Mg 0.2137 0.2137 0.6887 1
Co1 Co 0.4728 0.4728 0.4785 1
Re1 Re 0.7673 0.7673 0.2316 1



# PBE-GGA CrRu2, relaxed
# **ρ**: 10.57 g/cm³
# **SG**: Cmcm
# **Total magnetic moment**: 0.00 μB/f.u.
# **Energy relative to the elements**: 0.114 eV per atom
data_CrRu2
_chemical_formula_sum 'Cr2 Ru4'
_space_group_name_H-M_alt 'P 1'
_space_group_IT_number 1
_cell_length_a 5.9908
_cell_length_b 5.9908
_cell_length_c 3.7650
_cell_angle_alpha 90.00
_cell_angle_beta 90.00
_cell_angle_gamma 143.76
loop_
_space_group_symop_operation_xyz
'x,y,z'
loop_
_atom_site_label
_atom_site_type_symbol
_atom_site_fract_x
_atom_site_fract_y
_atom_site_fract_z
_atom_site_occupancy
Cr1 Cr 0.0838 0.9162 0.7500 1
Cr2 Cr 0.9162 0.0838 0.2500 1
Ru1 Ru 0.2491 0.7509 0.2500 1
Ru2 Ru 0.4177 0.5823 0.7500 1
Ru3 Ru 0.5823 0.4177 0.2500 1
Ru4 Ru 0.7509 0.2491 0.7500 1



# PBE-GGA Ho2ScS2, relaxed
# **ρ**: 6.26 g/cm³
# **SG**: C2/c
# **Total magnetic moment**: 0.00 μB/f.u.
# **E_form (uncorrected)**: -1.2352 eV per atom
data_Ho2ScS2
_chemical_formula_sum 'Ho4 Sc2 S4'
_space_group_name_H-M_alt 'P 1'
_space_group_IT_number 1
_cell_length_a 7.8227
_cell_length_b 7.8227
_cell_length_c 4.9756
_cell_angle_alpha 108.50
_cell_angle_beta 108.50
_cell_angle_gamma 111.90
loop_
_space_group_symop_operation_xyz
'x,y,z'
loop_
_atom_site_label
_atom_site_type_symbol
_atom_site_fract_x
_atom_site_fract_y
_atom_site_fract_z
_atom_site_occupancy
Ho1 Ho 0.1402 0.3364 0.4889 1
Ho2 Ho 0.3364 0.1402 0.9889 1
Ho3 Ho 0.6636 0.8598 0.0111 1
Ho4 Ho 0.8598 0.6636 0.5111 1
Sc1 Sc 0.2665 0.7335 0.2500 1
Sc2 Sc 0.7335 0.2665 0.7500 1
S1 S 0.0741 0.9259 0.2500 1
S2 S 0.2576 0.7424 0.7500 1
S3 S 0.7424 0.2576 0.2500 1
S4 S 0.9259 0.0741 0.7500 1



# PBE-GGA RhAu2F2, relaxed
# **ρ**: 10.12 g/cm³
# **SG**: I4/mmm
# **Total magnetic moment**: 2.41 μB/f.u.
# **E_form (uncorrected)**: 0.2352 eV per atom
# **Offset from the most stable computed form**: 201 meV/atom
data_RhAu2F2
_chemical_formula_sum 'Rh1 Au2 F2'
_space_group_name_H-M_alt 'P 1'
_space_group_IT_number 1
_cell_length_a 7.0253
_cell_length_b 7.0253
_cell_length_c 7.0253
_cell_angle_alpha 149.75
_cell_angle_beta 149.75
_cell_angle_gamma 43.32
loop_
_space_group_symop_operation_xyz
'x,y,z'
loop_
_atom_site_label
_atom_site_type_symbol
_atom_site_fract_x
_atom_site_fract_y
_atom_site_fract_z
_atom_site_occupancy
Rh1 Rh 0.0000 0.0000 0.0000 1
Au1 Au 0.2500 0.7500 0.5000 1
Au2 Au 0.7500 0.2500 0.5000 1
F1 F 0.4102 0.4102 0.0000 1
F2 F 0.5898 0.5898 0.0000 1



# PBE-GGA LaSm2Ge6, relaxed
# **ρ**: 6.98 g/cm³
# **SG**: P6/mmm
# **Total magnetic moment**: 0.00 μB/f.u.
# **Energy relative to the elements**: -0.590 eV per atom
data_LaSm2Ge6
_chemical_formula_sum 'La1 Sm2 Ge6'
_space_group_name_H-M_alt 'P 1'
_space_group_IT_number 1
_cell_length_a 7.7037
_cell_length_b 7.7037
_cell_length_c 4.0505
_cell_angle_alpha 90.00
_cell_angle_beta 90.00
_cell_angle_gamma 120.00
loop_
_space_group_symop_operation_xyz
'x,y,z'
loop_
_atom_site_label
_atom_site_type_symbol
_atom_site_fract_x
_atom_site_fract_y
_atom_site_fract_z
_atom_site_occupancy
La1 La 0.0000 0.0000 0.0000 1
Sm1 Sm 0.3333 0.6667 0.0000 1
Sm2 Sm 0.6667 0.3333 0.0000 1
Ge1 Ge 0.0000 0.3366 0.5000 1
Ge2 Ge 0.0000 0.6634 0.5000 1
Ge3 Ge 0.3366 0.0000 0.5000 1
Ge4 Ge 0.3366 0.3366 0.5000 1
Ge5 Ge 0.6634 0.0000 0.5000 1
Ge6 Ge 0.6634 0.6634 0.5000 1



# PBE-GGA Be3Al2Si6O18, relaxed
# **ρ**: 2.57 g/cm³
# **SG**: P6/mcc
# **Total magnetic moment**: 0.00 μB/f.u.
# **E_form (uncorrected)**: -2.8357 eV per atom
data_Be3Al2Si6O18
_chemical_formula_sum 'Be6 Al4 Si12 O36'
_space_group_name_H-M_alt 'P 1'
_space_group_IT_number 1
_cell_length_a 9.3032
_cell_length_b 9.3032
_cell_length_c 9.2753
_cell_angle_alpha 90.00
_cell_angle_beta 90.00
_cell_angle_gamma 120.00
loop_
_space_group_symop_operation_xyz
'x,y,z'
loop_
_atom_site_label
_atom_site_type_symbol
_atom_site_fract_x
_atom_site_fract_y
_atom_site_fract_z
_atom_site_occupancy
Be1 Be 0.0000 0.5000 0.2500 1
Be2 Be 0.0000 0.5000 0.7500 1
Be3 Be 0.5000 0.0000 0.2500 1
Be4 Be 0.5000 0.0000 0.7500 1
Be5 Be 0.5000 0.5000 0.2500 1
Be6 Be 0.5000 0.5000 0.7500 1
Al1 Al 0.3333 0.6667 0.2500 1
Al2 Al 0.3333 0.6667 0.7500 1
Al3 Al 0.6667 0.3333 0.2500 1
Al4 Al 0.6667 0.3333 0.7500 1
Si1 Si 0.1151 0.3873 0.0000 1
Si2 Si 0.1151 0.7278 0.5000 1
Si3 Si 0.2722 0.3873 0.5000 1
Si4 Si 0.2722 0.8849 0.0000 1
Si5 Si 0.3873 0.1151 0.5000 1
Si6 Si 0.3873 0.2722 0.0000 1
Si7 Si 0.6127 0.7278 0.0000 1
Si8 Si 0.6127 0.8849 0.5000 1
Si9 Si 0.7278 0.1151 0.0000 1
Si10 Si 0.7278 0.6127 0.5000 1
Si11 Si 0.8849 0.2722 0.5000 1
Si12 Si 0.8849 0.6127 0.0000 1
O1 O 0.0739 0.3095 0.5000 1
O2 O 0.0739 0.7644 0.0000 1
O3 O 0.1448 0.4985 0.1458 1
O4 O 0.1448 0.4985 0.8542 1
O5 O 0.1448 0.6463 0.3542 1
O6 O 0.1448 0.6463 0.6458 1
O7 O 0.2356 0.3095 0.0000 1
O8 O 0.2356 0.9261 0.5000 1
O9 O 0.3095 0.0739 0.0000 1
O10 O 0.3095 0.2356 0.5000 1
O11 O 0.3537 0.4985 0.3542 1
O12 O 0.3537 0.4985 0.6458 1
O13 O 0.3537 0.8552 0.1458 1
O14 O 0.3537 0.8552 0.8542 1
O15 O 0.4985 0.1448 0.3542 1
O16 O 0.4985 0.1448 0.6458 1
O17 O 0.4985 0.3537 0.1458 1
O18 O 0.4985 0.3537 0.8542 1
O19 O 0.5015 0.6463 0.1458 1
O20 O 0.5015 0.6463 0.8542 1
O21 O 0.5015 0.8552 0.3542 1
O22 O 0.5015 0.8552 0.6458 1
O23 O 0.6463 0.1448 0.1458 1
O24 O 0.6463 0.1448 0.8542 1
O25 O 0.6463 0.5015 0.3542 1
O26 O 0.6463 0.5015 0.6458 1
O27 O 0.6905 0.7644 0.5000 1
O28 O 0.6905 0.9261 0.0000 1
O29 O 0.7644 0.0739 0.5000 1
O30 O 0.7644 0.6905 0.0000 1
O31 O 0.8552 0.3537 0.3542 1
O32 O 0.8552 0.3537 0.6458 1
O33 O 0.8552 0.5015 0.1458 1
O34 O 0.8552 0.5015 0.8542 1
O35 O 0.9261 0.2356 0.0000 1
O36 O 0.9261 0.6905 0.5000 1



# PBE-GGA GaMoBr, relaxed
# **ρ**: 5.73 g/cm³
# **SG**: P2_1/m
# **Total magnetic moment**: 0.00 μB/f.u.
# **E_form (uncorrected)**: -0.0512 eV per atom
# **Offset from the most stable computed form**: 79 meV/atom
data_GaMoBr
_chemical_formula_sum 'Ga2 Mo2 Br2'
_space_group_name_H-M_alt 'P 1'
_space_group_IT_number 1
_cell_length_a 4.5446
_cell_length_b 3.3111
_cell_length_c 9.5565
_cell_angle_alpha 90.00
_cell_angle_beta 97.89
_cell_angle_gamma 90.00
loop_
_space_group_symop_operation_xyz
'x,y,z'
loop_
_atom_site_label
_atom_site_type_symbol
_atom_site_fract_x
_atom_site_fract_y
_atom_site_fract_z
_atom_site_occupancy
Ga1 Ga 0.0037 0.2500 0.1159 1
Ga2 Ga 0.9963 0.7500 0.8841 1
Mo1 Mo 0.4756 0.7500 0.0962 1
Mo2 Mo 0.5244 0.2500 0.9038 1
Br1 Br 0.3071 0.7500 0.6693 1
Br2 Br 0.6929 0.2500 0.3307 1



# PBE-GGA InNi4Pd, relaxed
# **ρ**: 9.59 g/cm³
# **SG**: F-43m
# **Total magnetic moment**: 1.90 μB/f.u.
# **Energy relative to the elements**: -0.071 eV per atom
data_InNi4Pd
_chemical_formula_sum 'In1 Ni4 Pd1'
_space_group_name_H-M_alt 'P 1'
_space_group_IT_number 1
_cell_length_a 4.8161
_cell_length_b 4.8161
_cell_length_c 4.8161
_cell_angle_alpha 60.00
_cell_angle_beta 60.00
_cell_angle_gamma 60.00
loop_
_space_group_symop_operation_xyz
'x,y,z'
loop_
_atom_site_label
_atom_site_type_symbol
_atom_site_fract_x
_atom_site_fract_y
_atom_site_fract_z
_atom_site_occupancy
In1 In 0.0000 0.0000 0.0000 1
Ni1 Ni 0.3753 0.3753 0.3753 1
Ni2 Ni 0.3753 0.3753 0.8740 1
Ni3 Ni 0.3753 0.8740 0.3753 1
Ni4 Ni 0.8740 0.3753 0.3753 1
Pd1 Pd 0.7500 0.7500 0.7500 1



# PBE-GGA Ba2CuHgAu6, relaxed
# **ρ**: 10.91 g/cm³
# **SG**: P-1
# **Total magnetic moment**: 0.00 μB/f.u.
# **Energy relative to the elements**: -0.392 eV per atom
data_Ba2CuHgAu6
_chemical_formula_sum 'Ba2 Cu1 Hg1 Au6'
_space_group_name_H-M_alt 'P 1'
_space_group_IT_number 1
_cell_length_a 5.6327
_cell_length_b 7.1639
_cell_length_c 7.6047
_cell_angle_alpha 78.68
_cell_angle_beta 68.35
_cell_angle_gamma 66.92
loop_
_space_group_symop_operation_xyz
'x,y,z'
loop_
_atom_site_label
_atom_site_type_symbol
_atom_site_fract_x
_atom_site_fract_y
_atom_site_fract_z
_atom_site_occupancy
Ba1 Ba 0.2486 0.2085 0.2956 1
Ba2 Ba 0.7514 0.7915 0.7044 1
Cu1 Cu 0.0000 0.0000 0.0000 1
Hg1 Hg 0.5000 0.5000 0.5000 1
Au1 Au 0.2368 0.2478 0.7747 1
Au2 Au 0.2441 0.6088 0.9013 1
Au3 Au 0.2607 0.7523 0.2249 1
Au4 Au 0.7393 0.2477 0.7751 1
Au5 Au 0.7559 0.3912 0.0987 1
Au6 Au 0.7632 0.7522 0.2253 1



# PBE-GGA LaSbW2, relaxed
# **ρ**: 11.00 g/cm³
# **SG**: C2/m
# **Total magnetic moment**: 0.00 μB/f.u.
# **E_form (uncorrected)**: 0.4219 eV per atom
data_LaSbW2
_chemical_formula_sum 'La1 Sb1 W2'
_space_group_name_H-M_alt 'P 1'
_space_group_IT_number 1
_cell_length_a 5.2608
_cell_length_b 5.2608
_cell_length_c 5.6061
_cell_angle_alpha 102.44
_cell_angle_beta 102.44
_cell_angle_gamma 38.90
loop_
_space_group_symop_operation_xyz
'x,y,z'
loop_
_atom_site_label
_atom_site_type_symbol
_atom_site_fract_x
_atom_site_fract_y
_atom_site_fract_z
_atom_site_occupancy
La1 La 0.0000 0.0000 0.0000 1
Sb1 Sb 0.5000 0.5000 0.5000 1
W1 W 0.2405 0.2405 0.6553 1
W2 W 0.7595 0.7595 0.3447 1